Run one
An optimized crystal structure of CaAcHo2, computed with PBE.

Cell and atoms, written as CIF:
```
data_CaAcHo2
_space_group_name_H-M_alt 'F m -3 m'
_space_group_IT_number 225
_space_group_name_Hall '-F 4 2 3'
_cell_length_a 8.356
_cell_length_b 8.356
_cell_length_c 8.356
_cell_angle_alpha 90.00
_cell_angle_beta 90.00
_cell_angle_gamma 90.00
loop_
_atom_site_label
_atom_site_fract_x
_atom_site_fract_y
_atom_site_fract_z
_atom_site_occupancy
Ca1 0.000 0.000 0.000 1
Ac1 0.000 0.000 0.500 1
Ho1 0.250 0.250 0.250 1
```

Computed properties:
As for the calculated density: 6795 kg/m3. Its density of states at the Fermi level is 1.537 states/eV per atom.

***

Run two
An optimized crystal structure of CaAcHo2, computed with PBE.

Cell and atoms, written as CIF:
```
data_CaAcHo2
_space_group_name_H-M_alt 'R -3 m'
_space_group_IT_number 166
_space_group_name_Hall '-R 3 2"'
_cell_length_a 3.6559
_cell_length_b 3.6559
_cell_length_c 38.5412
_cell_angle_alpha 90.00
_cell_angle_beta 90.00
_cell_angle_gamma 120.00
loop_
_atom_site_label
_atom_site_fract_x
_atom_site_fract_y
_atom_site_fract_z
_atom_site_occupancy
Ca1 0.0000 0.0000 0.0000 1
Ac1 0.0000 0.0000 0.5000 1
Ho1 0.0000 0.0000 0.0890 1
```

Computed properties:
As for the calculated density: 6666 kg/m3. Its density of states at the Fermi level is 1.659 states/eV per atom.

***

Run three
An optimized crystal structure of CaAcHo2, computed with PBE.

Cell and atoms, written as CIF:
```
data_CaAcHo2
_space_group_name_H-M_alt 'P 4/m m m'
_space_group_IT_number 123
_space_group_name_Hall '-P 4 2'
_cell_length_a 5.177
_cell_length_b 5.177
_cell_length_c 5.417
_cell_angle_alpha 90.00
_cell_angle_beta 90.00
_cell_angle_gamma 90.00
loop_
_atom_site_label
_atom_site_fract_x
_atom_site_fract_y
_atom_site_fract_z
_atom_site_occupancy
Ca1 0.000 0.000 0.000 1
Ac1 0.500 0.500 0.000 1
Ho1 0.000 0.500 0.500 1
```

Computed properties:
As for the calculated density: 6826 kg/m3. Its density of states at the Fermi level is 1.675 states/eV per atom.

***

It turns out run three is the most stable, with the second structure 34 meV per atom higher.

***

Run one
An optimized crystal structure of CaAcHo2, computed with PBE.

Cell and atoms, written as CIF:
```
data_CaAcHo2
_space_group_name_H-M_alt 'P 4/m m m'
_space_group_IT_number 123
_space_group_name_Hall '-P 4 2'
_cell_length_a 3.783
_cell_length_b 3.783
_cell_length_c 10.244
_cell_angle_alpha 90.00
_cell_angle_beta 90.00
_cell_angle_gamma 90.00
loop_
_atom_site_label
_atom_site_fract_x
_atom_site_fract_y
_atom_site_fract_z
_atom_site_occupancy
Ca1 0.000 0.000 0.000 1
Ac1 0.000 0.000 0.500 1
Ho1 0.500 0.500 0.255 1
```

Computed properties:
As for the calculated density: 6761 kg/m3. Its density of states at the Fermi level is 1.874 states/eV per atom.

***

Run two
An optimized crystal structure of CaAcHo2, computed with PBE.

Cell and atoms, written as CIF:
```
data_CaAcHo2
_space_group_name_H-M_alt 'R 3 m'
_space_group_IT_number 160
_space_group_name_Hall 'R 3 -2"'
_cell_length_a 3.7257
_cell_length_b 3.7257
_cell_length_c 36.2310
_cell_angle_alpha 90.00
_cell_angle_beta 90.00
_cell_angle_gamma 120.00
loop_
_atom_site_label
_atom_site_fract_x
_atom_site_fract_y
_atom_site_fract_z
_atom_site_occupancy
Ca1 0.0000 0.0000 0.0000 1
Ac1 0.0000 0.0000 0.1659 1
Ho1 0.0000 0.0000 0.5818 1
Ho2 0.0000 0.0000 0.7508 1
```

Computed properties:
As for the calculated density: 6828 kg/m3. Its density of states at the Fermi level is 1.734 states/eV per atom.

***

It turns out run two is the most stable, with the second structure 15 meV per atom higher.

***

Run one
An optimized crystal structure of CaAc2Ho, computed with PBE.

Cell and atoms, written as CIF:
```
data_CaAc2Ho
_space_group_name_H-M_alt 'P 4/m m m'
_space_group_IT_number 123
_space_group_name_Hall '-P 4 2'
_cell_length_a 3.911
_cell_length_b 3.911
_cell_length_c 10.624
_cell_angle_alpha 90.00
_cell_angle_beta 90.00
_cell_angle_gamma 90.00
loop_
_atom_site_label
_atom_site_fract_x
_atom_site_fract_y
_atom_site_fract_z
_atom_site_occupancy
Ca1 0.000 0.000 0.000 1
Ac1 0.500 0.500 0.266 1
Ho1 0.000 0.000 0.500 1
```

Computed properties:
As for the calculated density: 6735 kg/m3. Its density of states at the Fermi level is 1.596 states/eV per atom.

***

Run two
An optimized crystal structure of CaAc2Ho, computed with PBE.

Cell and atoms, written as CIF:
```
data_CaAc2Ho
_space_group_name_H-M_alt 'R -3 m'
_space_group_IT_number 166
_space_group_name_Hall '-R 3 2"'
_cell_length_a 3.7374
_cell_length_b 3.7374
_cell_length_c 40.5119
_cell_angle_alpha 90.00
_cell_angle_beta 90.00
_cell_angle_gamma 120.00
loop_
_atom_site_label
_atom_site_fract_x
_atom_site_fract_y
_atom_site_fract_z
_atom_site_occupancy
Ca1 0.0000 0.0000 0.0000 1
Ac1 0.0000 0.0000 0.4159 1
Ho1 0.0000 0.0000 0.5000 1
```

Computed properties:
As for the calculated density: 6699 kg/m3. Its density of states at the Fermi level is 1.718 states/eV per atom.

***

Run three
An optimized crystal structure of CaAc2Ho, computed with PBE.

Cell and atoms, written as CIF:
```
data_CaAc2Ho
_space_group_name_H-M_alt 'P 4/m m m'
_space_group_IT_number 123
_space_group_name_Hall '-P 4 2'
_cell_length_a 5.672
_cell_length_b 5.672
_cell_length_c 4.969
_cell_angle_alpha 90.00
_cell_angle_beta 90.00
_cell_angle_gamma 90.00
loop_
_atom_site_label
_atom_site_fract_x
_atom_site_fract_y
_atom_site_fract_z
_atom_site_occupancy
Ca1 0.000 0.000 0.000 1
Ac1 0.000 0.500 0.500 1
Ho1 0.500 0.500 0.000 1
```

Computed properties:
As for the calculated density: 6844 kg/m3. Its density of states at the Fermi level is 1.414 states/eV per atom.

***

It turns out run one is the most stable, with the second structure 35 meV per atom higher.

***

Run one
An optimized crystal structure of CaAc2Ho, computed with PBE.

Cell and atoms, written as CIF:
```
data_CaAc2Ho
_space_group_name_H-M_alt 'R 3 m'
_space_group_IT_number 160
_space_group_name_Hall 'R 3 -2"'
_cell_length_a 3.8530
_cell_length_b 3.8530
_cell_length_c 37.6843
_cell_angle_alpha 90.00
_cell_angle_beta 90.00
_cell_angle_gamma 120.00
loop_
_atom_site_label
_atom_site_fract_x
_atom_site_fract_y
_atom_site_fract_z
_atom_site_occupancy
Ca1 0.0000 0.0000 0.0000 1
Ac1 0.0000 0.0000 0.2448 1
Ac2 0.0000 0.0000 0.4213 1
Ho1 0.0000 0.0000 0.8329 1
```

Computed properties:
As for the calculated density: 6776 kg/m3. Its density of states at the Fermi level is 1.214 states/eV per atom.

***

Run two
An optimized crystal structure of CaAc2Ho, computed with PBE.

Cell and atoms, written as CIF:
```
data_CaAc2Ho
_space_group_name_H-M_alt 'F m -3 m'
_space_group_IT_number 225
_space_group_name_Hall '-F 4 2 3'
_cell_length_a 8.624
_cell_length_b 8.624
_cell_length_c 8.624
_cell_angle_alpha 90.00
_cell_angle_beta 90.00
_cell_angle_gamma 90.00
loop_
_atom_site_label
_atom_site_fract_x
_atom_site_fract_y
_atom_site_fract_z
_atom_site_occupancy
Ca1 0.000 0.000 0.000 1
Ac1 0.250 0.250 0.250 1
Ho1 0.000 0.000 0.500 1
```

Computed properties:
As for the calculated density: 6824 kg/m3. Its density of states at the Fermi level is 1.333 states/eV per atom.

***

It turns out run one is the most stable, with the second structure 23 meV per atom higher.

***

Run one
An optimized crystal structure of CaAcHo, computed with PBE.

Cell and atoms, written as CIF:
```
data_CaAcHo
_space_group_name_H-M_alt 'I 4 m m'
_space_group_IT_number 107
_space_group_name_Hall 'I 4 -2'
_cell_length_a 3.837
_cell_length_b 3.837
_cell_length_c 15.878
_cell_angle_alpha 90.00
_cell_angle_beta 90.00
_cell_angle_gamma 90.00
loop_
_atom_site_label
_atom_site_fract_x
_atom_site_fract_y
_atom_site_fract_z
_atom_site_occupancy
Ca1 0.000 0.000 0.000 1
Ac1 0.000 0.000 0.316 1
Ho1 0.000 0.000 0.663 1
```

Computed properties:
As for the calculated density: 6137 kg/m3. Its density of states at the Fermi level is 1.433 states/eV per atom.

***

Run two
An optimized crystal structure of CaAcHo, computed with PBE.

Cell and atoms, written as CIF:
```
data_CaAcHo
_space_group_name_H-M_alt 'C m c m'
_space_group_IT_number 63
_space_group_name_Hall '-C 2c 2'
_cell_length_a 3.777
_cell_length_b 20.570
_cell_length_c 6.020
_cell_angle_alpha 90.00
_cell_angle_beta 90.00
_cell_angle_gamma 90.00
loop_
_atom_site_label
_atom_site_fract_x
_atom_site_fract_y
_atom_site_fract_z
_atom_site_occupancy
Ca1 0.000 0.214 0.250 1
Ac1 0.000 0.106 0.750 1
Ho1 0.000 0.451 0.750 1
```

Computed properties:
As for the calculated density: 6135 kg/m3. Its density of states at the Fermi level is 1.574 states/eV per atom.

***

Run three
An optimized crystal structure of CaAcHo, computed with PBE.

Cell and atoms, written as CIF:
```
data_CaAcHo
_space_group_name_H-M_alt 'P 1 21/m 1'
_space_group_IT_number 11
_cell_length_a 3.793
_cell_length_b 3.793
_cell_length_c 16.313
_cell_angle_alpha 90.00
_cell_angle_beta 90.04
_cell_angle_gamma 90.00
loop_
_space_group_symop_operation_xyz
'x,y,z'
'-x,-y,-z'
'-x,y+1/2,-z'
'x,-y+1/2,z'
loop_
_atom_site_label
_atom_site_fract_x
_atom_site_fract_y
_atom_site_fract_z
_atom_site_occupancy
Ca1 0.248 0.250 0.089 1
Ac1 0.252 0.250 0.730 1
Ho1 0.249 0.250 0.428 1
```

Computed properties:
As for the calculated density: 6112 kg/m3. Its density of states at the Fermi level is 1.438 states/eV per atom.

***

It turns out run three is the most stable, with the second structure 7 meV per atom higher.